## BeAlBr3 (GGA-PBEsol)

Data for a relaxed structure of BeAlBr3.

Lattice parameters (Å, degrees): 5.0270 5.0270 5.0270 90.00 90.00 90.00
Fractional positions:
Br (0.0000, 0.5000, 0.0000)
Br (0.5000, 0.0000, 0.0000)
Br (0.0000, 0.0000, 0.5000)
Al (0.0000, 0.0000, 0.0000)
Be (0.5000, 0.5000, 0.5000)

Results
energy = -2.7042 eV per atom
SG = Pm-3m (221)
E_form (uncorrected) = 0.036 eV per atom
DOS(E_F) = 2.037 states/eV/f.u.